Density functional theory data (PBE-GGA) for crystalline BaIN2F at its relaxed geometry.

## Properties
- ΔE to the lowest computed polymorph (meV/atom) = 1063.0
- spin magnetization (μB per formula unit) = 4.0
- E_tot (eV per cell) = -16.73

Structure (POSCAR):
```
BaIN2F
1.0
-3.224 4.162 -1.437
-3.837 -3.529 -1.613
-2.713 0.072 6.294
N F I Ba
2 1 1 1
Direct
0.500 0.000 0.000 N
0.000 0.500 0.000 N
0.500 0.500 0.500 F
0.000 0.000 0.500 I
0.000 0.000 0.000 Ba
```


Density functional theory data (PBE-GGA) for crystalline BaIN2F at its relaxed geometry.

## Properties
- ΔE to the lowest computed polymorph (meV/atom) = 571.0
- spin magnetization (μB per formula unit) = 6.1
- E_tot (eV per cell) = -19.19

Structure (POSCAR):
```
BaIN2F
1.0
5.769 0.000 0.000
0.000 5.769 0.000
0.000 0.000 4.838
I N Ba F
1 2 1 1
Direct
0.500 0.500 0.500 I
0.500 0.000 0.000 N
0.000 0.500 0.000 N
0.000 0.000 0.000 Ba
0.000 0.000 0.500 F
```


Number 1: formation energy (no corrections) 1.053 eV per atom. Number 2: formation energy (no corrections) 0.561 eV per atom.